No. 1
Hf3Ti2Zn | PBE | relaxed

Structure (CIF):
```
data_Hf3Ti2Zn
_cell_length_a 4.111
_cell_length_b 4.340
_cell_length_c 6.827
_cell_angle_alpha 108.53
_cell_angle_beta 90.00
_cell_angle_gamma 90.00
_symmetry_space_group_name_H-M 'P 1'
_symmetry_Int_Tables_number 1
loop_
_symmetry_equiv_pos_as_xyz
'x,y,z'
loop_
_atom_site_label
_atom_site_fract_x
_atom_site_fract_y
_atom_site_fract_z
_atom_site_occupancy
Hf1 0.500 0.500 0.000 1
Ti1 0.000 0.670 0.339 1
Hf2 0.500 0.836 0.672 1
Hf3 0.500 0.164 0.328 1
Zn1 0.000 0.000 0.000 1
Ti2 0.000 0.330 0.661 1
```

=====

No. 2
Hf4TiZn3 | PBE | relaxed

Structure (CIF):
```
data_Hf4TiZn3
_cell_length_a 3.247
_cell_length_b 3.247
_cell_length_c 14.077
_cell_angle_alpha 90.00
_cell_angle_beta 90.00
_cell_angle_gamma 90.00
_symmetry_space_group_name_H-M 'P 1'
_symmetry_Int_Tables_number 1
loop_
_symmetry_equiv_pos_as_xyz
'x,y,z'
loop_
_atom_site_label
_atom_site_fract_x
_atom_site_fract_y
_atom_site_fract_z
_atom_site_occupancy
Zn1 0.500 0.500 0.500 1
Zn2 0.500 0.500 0.743 1
Ti1 0.500 0.500 0.000 1
Zn3 0.500 0.500 0.257 1
Hf1 0.000 0.000 0.622 1
Hf2 0.000 0.000 0.378 1
Hf3 0.000 0.000 0.868 1
Hf4 0.000 0.000 0.132 1
```

=====

No. 3
Hf2TiZn | PBE | relaxed

Structure (CIF):
```
data_Hf2TiZn
_cell_length_a 3.201
_cell_length_b 3.201
_cell_length_c 7.462
_cell_angle_alpha 90.00
_cell_angle_beta 90.00
_cell_angle_gamma 90.00
_symmetry_space_group_name_H-M 'P 1'
_symmetry_Int_Tables_number 1
loop_
_symmetry_equiv_pos_as_xyz
'x,y,z'
loop_
_atom_site_label
_atom_site_fract_x
_atom_site_fract_y
_atom_site_fract_z
_atom_site_occupancy
Hf1 0.000 0.000 0.243 1
Zn1 0.500 0.500 0.000 1
Ti1 0.500 0.500 0.500 1
Hf2 0.000 0.000 0.757 1
```

=====

No. 4
Hf2Ti2Zn | PBE | relaxed

Structure (CIF):
```
data_Hf2Ti2Zn
_cell_length_a 3.026
_cell_length_b 6.715
_cell_length_c 9.897
_cell_angle_alpha 90.00
_cell_angle_beta 90.00
_cell_angle_gamma 90.00
_symmetry_space_group_name_H-M 'P 1'
_symmetry_Int_Tables_number 1
loop_
_symmetry_equiv_pos_as_xyz
'x,y,z'
loop_
_atom_site_label
_atom_site_fract_x
_atom_site_fract_y
_atom_site_fract_z
_atom_site_occupancy
Hf1 0.500 0.773 0.328 1
Zn1 0.000 0.500 0.500 1
Hf2 0.500 0.273 0.172 1
Ti1 0.000 0.367 0.907 1
Zn2 0.000 0.000 0.000 1
Ti2 0.000 0.633 0.093 1
Ti3 0.000 0.867 0.593 1
Ti4 0.000 0.133 0.407 1
Hf3 0.500 0.227 0.672 1
Hf4 0.500 0.727 0.828 1
```

=====

No. 5
Hf2Ti3Zn3 | PBE | relaxed

Structure (CIF):
```
data_Hf2Ti3Zn3
_cell_length_a 4.137
_cell_length_b 4.119
_cell_length_c 8.085
_cell_angle_alpha 90.00
_cell_angle_beta 90.00
_cell_angle_gamma 90.00
_symmetry_space_group_name_H-M 'P 1'
_symmetry_Int_Tables_number 1
loop_
_symmetry_equiv_pos_as_xyz
'x,y,z'
loop_
_atom_site_label
_atom_site_fract_x
_atom_site_fract_y
_atom_site_fract_z
_atom_site_occupancy
Zn1 0.000 0.500 0.500 1
Hf1 0.000 0.000 0.748 1
Hf2 0.000 0.000 0.252 1
Ti1 0.500 0.500 0.745 1
Zn2 0.000 0.500 0.000 1
Ti2 0.500 0.500 0.255 1
Ti3 0.500 0.000 0.000 1
Zn3 0.500 0.000 0.500 1
```

=====

No. 6
HfTi2Zn | PBE | relaxed

Structure (CIF):
```
data_HfTi2Zn
_cell_length_a 3.079
_cell_length_b 4.767
_cell_length_c 5.616
_cell_angle_alpha 114.86
_cell_angle_beta 105.91
_cell_angle_gamma 90.00
_symmetry_space_group_name_H-M 'P 1'
_symmetry_Int_Tables_number 1
loop_
_symmetry_equiv_pos_as_xyz
'x,y,z'
loop_
_atom_site_label
_atom_site_fract_x
_atom_site_fract_y
_atom_site_fract_z
_atom_site_occupancy
Zn1 0.500 0.000 0.000 1
Hf1 0.000 0.500 0.000 1
Ti1 0.770 0.770 0.540 1
Ti2 0.230 0.230 0.460 1
```

=====

Number 1: formation energy from the elements -1.4 kJ/mol of atoms, electronic total energy -7.8351 eV per atom, size of the total moment 0.00 μB/atom. Number 2: formation energy from the elements -13.2 kJ/mol of atoms, electronic total energy -6.5778 eV per atom, size of the total moment 0.00 μB/atom. Number 3: formation energy from the elements -8.0 kJ/mol of atoms, electronic total energy -7.3517 eV per atom, size of the total moment 0.00 μB/atom. Number 4: formation energy from the elements 25.4 kJ/mol of atoms, electronic total energy -7.1306 eV per atom, size of the total moment 0.00 μB/atom. Number 5: formation energy from the elements -11.7 kJ/mol of atoms, electronic total energy -6.0475 eV per atom, size of the total moment 0.00 μB/atom. Number 6: formation energy from the elements -3.4 kJ/mol of atoms, electronic total energy -6.7895 eV per atom, size of the total moment 0.00 μB/atom.